Entry from Alexandria via LeMat-Bulk: HfSiN2F after structural relaxation (GGA-PBEsol).

## Properties
VASP energy   -7.574 eV/atom
M_tot   0.5 Bohr magnetons per cell

Lattice parameters (Å, degrees): 4.173 4.173 3.979 90.00 90.00 90.00
Element x y z (fractional)
Hf1 0.000 0.000 0.000
Si1 0.500 0.500 0.500
N1 0.000 0.500 0.000
N2 0.500 0.000 0.000
F1 0.000 0.000 0.500